Entry 1:
A geometry-optimized SrLi2BiH structure. Source: Alexandria, functional PBE.

Output
Space group: P4/mmm, No. 123
Polymorph energy (0 for the lowest one) (eV/f.u.): 0.32
M_tot (μB/cell): 0.00
Calculated total energy (eV/atom): -3.07

Lattice parameters (Å, degrees): 4.707 4.707 4.927 90.00 90.00 90.00
Fractional coordinates of all 5 atoms:
1 Sr 0.000 0.000 0.500
2 Bi 0.500 0.500 0.500
3 H 0.000 0.000 0.000
4 Li 0.000 0.500 0.000
5 Li 0.500 0.000 0.000

=====

Entry 2:
A geometry-optimized InGe2F8 structure. Source: Alexandria, functional PBE.

Output
Space group: C2/m, No. 12
M_tot (μB/cell): 0.00
Calculated total energy (eV/atom): -4.57

Lattice parameters (Å, degrees): 5.162 5.790 5.790 72.49 100.73 100.73
Fractional coordinates of all 11 atoms:
1 In 0.000 0.000 0.000
2 Ge 0.384 0.654 0.654
3 Ge 0.616 0.346 0.346
4 F 0.263 0.339 0.919
5 F 0.737 0.081 0.661
6 F 0.209 0.834 0.834
7 F 0.791 0.166 0.166
8 F 0.263 0.919 0.339
9 F 0.737 0.661 0.081
10 F 0.744 0.562 0.562
11 F 0.256 0.438 0.438

=====

Entry 3:
A geometry-optimized MnZn2I structure. Source: Alexandria, functional PBE.

Output
Space group: Fm-3m, No. 225
Polymorph energy (0 for the lowest one) (eV/f.u.): 1.30
M_tot (μB/cell): 4.83
Calculated total energy (eV/atom): -2.58

Lattice parameters (Å, degrees): 5.077 5.077 5.077 60.00 60.00 60.00
Site moments in Bohr magnetons follow the coordinates.
Fractional coordinates of all 4 atoms:
1 I 0.500 0.500 0.500  0.08
2 Zn 0.250 0.250 0.250  0.02
3 Zn 0.750 0.750 0.750  0.02
4 Mn 0.000 0.000 0.000  4.25

=====

Entry 4:
A geometry-optimized AcCo2B2 structure. Source: Alexandria, functional PBE.

Output
Space group: I4/mmm, No. 139
E_form (eV/f.u.): -1.969
M_tot (μB/cell): 0.00
Calculated total energy (eV/atom): -6.73

Lattice parameters (Å, degrees): 3.640 3.640 5.914 107.91 107.92 90.02
Fractional coordinates of all 5 atoms:
1 Ac 0.000 0.000 0.000
2 Co 0.750 0.250 0.500
3 Co 0.250 0.750 0.500
4 B 0.328 0.328 0.655
5 B 0.672 0.672 0.345

=====

Entry 5:
A geometry-optimized TaNbSe2 structure. Source: Alexandria, functional PBE.

Output
Space group: R-3m, No. 166
Polymorph energy (0 for the lowest one) (eV/f.u.): 0.20
M_tot (μB/cell): 0.00
Calculated total energy (eV/atom): -7.42

Lattice parameters (Å, degrees): 9.055 9.055 9.055 20.47 20.47 20.47
Fractional coordinates of all 4 atoms:
1 Nb 0.000 0.000 0.000
2 Se 0.902 0.902 0.902
3 Se 0.098 0.098 0.098
4 Ta 0.500 0.500 0.500

=====

Entry 6:
A geometry-optimized Li2AlAu structure. Source: Alexandria, functional PBE.

Output
Space group: R3m, No. 160
E_form (eV/f.u.): -0.629
M_tot (μB/cell): 0.00
Calculated total energy (eV/atom): -2.87

Lattice parameters (Å, degrees): 8.898 8.898 8.898 19.98 19.98 19.98
Fractional coordinates of all 4 atoms:
1 Al 0.496 0.496 0.496
2 Au 0.752 0.752 0.752
3 Li 0.007 0.007 0.007
4 Li 0.244 0.244 0.244

=====

Entry 7:
A geometry-optimized Na2Sm2B2O7 structure. Source: Alexandria, functional PBE.

Output
Space group: P2_1/c, No. 14
M_tot (μB/cell): 0.00
Calculated total energy (eV/atom): -7.39

Lattice parameters (Å, degrees): 6.416 10.489 10.798 117.80 90.00 90.00
Fractional coordinates of all 52 atoms:
1 Na 0.724 0.951 0.889
2 Na 0.276 0.049 0.111
3 Na 0.224 0.549 0.111
4 Na 0.776 0.451 0.889
5 Na 0.057 0.741 0.977
6 Na 0.943 0.259 0.023
7 Na 0.557 0.759 0.023
8 Na 0.443 0.241 0.977
9 Sm 0.040 0.681 0.483
10 Sm 0.960 0.319 0.517
11 Sm 0.540 0.819 0.517
12 Sm 0.460 0.181 0.483
13 Sm 0.419 0.588 0.685
14 Sm 0.581 0.412 0.315
15 Sm 0.919 0.912 0.315
16 Sm 0.081 0.088 0.685
17 B 0.254 0.922 0.819
18 B 0.746 0.078 0.181
19 B 0.754 0.578 0.181
20 B 0.246 0.422 0.819
21 B 0.348 0.851 0.290
22 B 0.652 0.149 0.710
23 B 0.848 0.649 0.710
24 B 0.152 0.351 0.290
25 O 0.244 0.772 0.347
26 O 0.756 0.228 0.653
27 O 0.744 0.728 0.653
28 O 0.256 0.272 0.347
29 O 0.039 0.588 0.652
30 O 0.961 0.412 0.348
31 O 0.539 0.912 0.348
32 O 0.461 0.088 0.652
33 O 0.354 0.841 0.872
34 O 0.646 0.159 0.128
35 O 0.854 0.659 0.128
36 O 0.146 0.341 0.872
37 O 0.377 0.599 0.475
38 O 0.623 0.401 0.525
39 O 0.877 0.901 0.525
40 O 0.123 0.099 0.475
41 O 0.236 0.868 0.672
42 O 0.764 0.132 0.328
43 O 0.736 0.632 0.328
44 O 0.264 0.368 0.672
45 O 0.756 0.633 0.817
46 O 0.244 0.367 0.183
47 O 0.256 0.867 0.183
48 O 0.744 0.133 0.817
49 O 0.328 0.558 0.901
50 O 0.672 0.442 0.099
51 O 0.828 0.942 0.099
52 O 0.172 0.058 0.901

=====

Entry 8:
A geometry-optimized Sm7HoSc3 structure. Source: Alexandria, functional PBE.

Output
Space group: Immm, No. 71
E_form (eV/f.u.): 2.705
M_tot (μB/cell): 0.03
Calculated total energy (eV/atom): -4.90

Lattice parameters (Å, degrees): 5.787 8.295 8.295 85.35 110.43 110.43
Fractional coordinates of all 11 atoms:
1 Sm 0.197 0.197 0.197
2 Sm 0.312 0.022 0.602
3 Sm 0.688 0.398 0.978
4 Sm 0.312 0.602 0.022
5 Sm 0.000 0.500 0.500
6 Sm 0.688 0.978 0.398
7 Sm 0.803 0.803 0.803
8 Ho 0.500 0.500 0.500
9 Sc 0.000 0.789 0.211
10 Sc 0.500 0.000 0.000
11 Sc 0.000 0.211 0.789

=====

Entry 9:
A geometry-optimized K3Pb5 structure. Source: Alexandria, functional PBE.

Output
Space group: P6_3/mcm, No. 193
E_form (eV/f.u.): -0.386
M_tot (μB/cell): 0.00
Calculated total energy (eV/atom): -2.78

Lattice parameters (Å, degrees): 11.422 11.422 5.875 90.00 90.00 120.00
Fractional coordinates of all 16 atoms:
1 Pb 0.333 0.667 0.000
2 Pb 0.667 0.333 0.500
3 Pb 0.667 0.333 0.000
4 Pb 0.333 0.667 0.500
5 Pb 0.162 0.000 0.250
6 Pb 0.838 0.000 0.750
7 Pb 0.000 0.162 0.250
8 Pb 0.838 0.838 0.250
9 Pb 0.162 0.162 0.750
10 Pb 0.000 0.838 0.750
11 K 0.626 0.000 0.250
12 K 0.374 0.000 0.750
13 K 0.000 0.626 0.250
14 K 0.374 0.374 0.250
15 K 0.626 0.626 0.750
16 K 0.000 0.374 0.750

=====

Entry 10:
A geometry-optimized KLiCu2 structure. Source: Alexandria, functional PBE.

Output
Space group: Pmmm, No. 47
E_form (eV/f.u.): 1.204
Polymorph energy (0 for the lowest one) (eV/f.u.): 0.60
M_tot (μB/cell): 0.00
Calculated total energy (eV/atom): -2.50

Lattice parameters (Å, degrees): 2.853 3.906 7.332 90.00 90.00 90.00
Fractional coordinates of all 4 atoms:
1 Cu 0.000 0.000 0.916
2 Cu 0.000 0.000 0.584
3 K 0.500 0.500 0.250
4 Li 0.500 0.500 0.750

=====

Entry 11:
A geometry-optimized NbSnC3 structure. Source: Alexandria, functional PBE.

Output
Space group: Pm-3m, No. 221
E_form (eV/f.u.): 13.803
Polymorph energy (0 for the lowest one) (eV/f.u.): 4.90
M_tot (μB/cell): 0.00
Calculated total energy (eV/atom): -5.59

Lattice parameters (Å, degrees): 4.147 4.147 4.147 90.00 90.00 90.00
Fractional coordinates of all 5 atoms:
1 C 0.000 0.500 0.000
2 C 0.000 0.000 0.500
3 C 0.500 0.000 0.000
4 Nb 0.500 0.500 0.500
5 Sn 0.000 0.000 0.000

=====

Entry 12:
A geometry-optimized La2Pr4Y2Er structure. Source: Alexandria, functional PBE.

Output
Space group: C2/m, No. 12
E_form (eV/f.u.): 0.072
M_tot (μB/cell): 0.00
Calculated total energy (eV/atom): -5.15

Lattice parameters (Å, degrees): 3.709 9.758 9.827 115.13 90.00 100.95
Fractional coordinates of all 9 atoms:
1 La 0.335 0.670 0.001
2 La 0.665 0.330 0.999
3 Pr 0.815 0.629 0.667
4 Pr 0.185 0.371 0.333
5 Pr 0.518 0.036 0.334
6 Pr 0.482 0.964 0.666
7 Y 0.852 0.704 0.333
8 Y 0.148 0.296 0.667
9 Er 0.000 0.000 0.000

=====

Entry 13:
A geometry-optimized LiCu2C structure. Source: Alexandria, functional PBE.

Output
Space group: I4_1/amd, No. 141
E_form (eV/f.u.): 2.384
Polymorph energy (0 for the lowest one) (eV/f.u.): 0.00
M_tot (μB/cell): 0.00
Calculated total energy (eV/atom): -4.24

Lattice parameters (Å, degrees): 4.695 4.695 6.716 69.54 69.54 90.00
Fractional coordinates of all 8 atoms:
1 C 0.000 0.000 0.000
2 C 0.750 0.250 0.500
3 Cu 0.875 0.125 0.250
4 Cu 0.875 0.625 0.250
5 Cu 0.375 0.125 0.750
6 Cu 0.875 0.125 0.750
7 Li 0.500 0.500 0.000
8 Li 0.250 0.750 0.500

=====

Entry 14:
A geometry-optimized TaFeSe2 structure. Source: Alexandria, functional PBE.

Output
Space group: C2/m, No. 12
Polymorph energy (0 for the lowest one) (eV/f.u.): 3.31
M_tot (μB/cell): 2.88
Calculated total energy (eV/atom): -6.52

Lattice parameters (Å, degrees): 5.798 5.259 3.222 69.17 95.14 125.36
Site moments in Bohr magnetons follow the coordinates.
Fractional coordinates of all 4 atoms:
1 Fe 0.500 0.500 0.000  2.79
2 Se 0.000 0.000 0.000  0.04
3 Se 0.500 0.000 0.500  0.04
4 Ta 0.000 0.500 0.500  -0.07

=====

Entry 15:
A geometry-optimized LiCa3Nd4Se8 structure. Source: Alexandria, functional PBE.

Output
Space group: R-3m, No. 166
M_tot (μB/cell): 0.00
Calculated total energy (eV/atom): -5.28

Lattice parameters (Å, degrees): 8.355 8.441 8.355 119.66 120.00 90.00
Fractional coordinates of all 16 atoms:
1 Li 0.000 0.500 0.000
2 Ca 0.500 0.500 0.000
3 Ca 0.500 0.500 0.500
4 Ca 0.000 0.500 0.500
5 Nd 0.500 0.000 0.000
6 Nd 0.500 0.000 0.500
7 Nd 0.000 0.000 0.000
8 Nd 0.000 0.000 0.500
9 Se 0.246 0.742 0.997
10 Se 0.246 0.743 0.491
11 Se 0.252 0.256 0.504
12 Se 0.751 0.742 0.997
13 Se 0.249 0.258 0.003
14 Se 0.748 0.744 0.496
15 Se 0.754 0.257 0.509
16 Se 0.754 0.258 0.003

=====

Entry 16:
A geometry-optimized TbGd2Co structure. Source: Alexandria, functional PBE.

Output
Space group: P4/mmm, No. 123
E_form (eV/f.u.): -0.094
Polymorph energy (0 for the lowest one) (eV/f.u.): 0.00
M_tot (μB/cell): 13.43
Calculated total energy (eV/atom): -10.00

Lattice parameters (Å, degrees): 3.424 3.424 8.907 90.00 90.00 90.00
Site moments in Bohr magnetons follow the coordinates.
Fractional coordinates of all 4 atoms:
1 Co 0.500 0.500 0.000  0.96
2 Gd 0.000 0.000 0.817  -7.09
3 Gd 0.000 0.000 0.183  -7.09
4 Tb 0.500 0.500 0.500  0.09

=====

Entry 17:
A geometry-optimized Sc4TlMo structure. Source: Alexandria, functional PBE.

Output
Space group: F-43m, No. 216
E_form (eV/f.u.): 2.674
M_tot (μB/cell): 0.00
Calculated total energy (eV/atom): -5.97

Lattice parameters (Å, degrees): 5.660 5.660 5.660 60.00 60.00 60.00
Fractional coordinates of all 6 atoms:
1 Sc 0.881 0.373 0.373
2 Sc 0.373 0.373 0.881
3 Sc 0.373 0.881 0.373
4 Sc 0.373 0.373 0.373
5 Tl 0.750 0.750 0.750
6 Mo 0.000 0.000 0.000

=====

Entry 18:
A geometry-optimized LiMn2Zn2 structure. Source: Alexandria, functional PBE.

Output
Space group: P4/mbm, No. 127
E_form (eV/f.u.): 0.657
Polymorph energy (0 for the lowest one) (eV/f.u.): 0.00
M_tot (μB/cell): 12.56
Calculated total energy (eV/atom): -4.43

Lattice parameters (Å, degrees): 7.512 7.512 2.691 90.00 90.00 90.00
Site moments in Bohr magnetons follow the coordinates.
Fractional coordinates of all 10 atoms:
1 Zn 0.175 0.675 0.500  -0.05
2 Zn 0.675 0.825 0.500  -0.05
3 Zn 0.825 0.325 0.500  -0.05
4 Zn 0.325 0.175 0.500  -0.05
5 Mn 0.378 0.878 0.000  3.14
6 Mn 0.878 0.622 0.000  3.12
7 Mn 0.622 0.122 0.000  3.14
8 Mn 0.122 0.378 0.000  3.12
9 Li 0.000 0.000 0.000  -0.03
10 Li 0.500 0.500 0.000  -0.03

=====

Entry 19:
A geometry-optimized Sr2Mg16In structure. Source: Alexandria, functional PBE.

Output
Space group: R3m, No. 160
E_form (eV/f.u.): -1.405
M_tot (μB/cell): 0.00
Calculated total energy (eV/atom): -1.74

Lattice parameters (Å, degrees): 7.945 7.945 7.945 82.79 82.79 82.79
Fractional coordinates of all 19 atoms:
1 Sr 0.665 0.665 0.665
2 Sr 0.336 0.336 0.336
3 Mg 0.702 0.000 0.299
4 Mg 0.000 0.299 0.702
5 Mg 0.299 0.702 0.000
6 Mg 0.000 0.702 0.299
7 Mg 0.702 0.299 0.000
8 Mg 0.299 0.000 0.702
9 Mg 0.348 0.844 0.348
10 Mg 0.844 0.348 0.348
11 Mg 0.348 0.348 0.844
12 Mg 0.652 0.161 0.652
13 Mg 0.161 0.652 0.652
14 Mg 0.652 0.652 0.161
15 Mg 0.001 0.499 0.001
16 Mg 0.499 0.001 0.001
17 Mg 0.001 0.001 0.499
18 Mg 0.094 0.094 0.094
19 In 0.897 0.897 0.897

=====

Entry 20:
A geometry-optimized AlCu2Mo structure. Source: Alexandria, functional PBE.

Output
Space group: Pm, No. 6
E_form (eV/f.u.): 0.150
M_tot (μB/cell): 0.00
Calculated total energy (eV/atom): -5.65

Lattice parameters (Å, degrees): 4.064 2.636 5.353 73.83 90.00 90.00
Fractional coordinates of all 4 atoms:
1 Mo 0.000 0.578 0.513
2 Al 0.500 0.954 0.749
3 Cu 0.000 0.776 0.014
4 Cu 0.500 0.193 0.224